Record 1
Below is crystalline Na2Pd2Br7 at its relaxed geometry, with properties calculated at the PBE level.

a = 7.438 Å, b = 7.438 Å, c = 7.361 Å
α = 91.91°, β = 91.91°, γ = 110.19°
Element x y z (fractional)
Na  0.183  0.817  0.000
Na  0.817  0.183  0.000
Pd  0.220  0.220  0.616
Pd  0.780  0.780  0.384
Br  0.074  0.074  0.293
Br  0.139  0.435  0.849
Br  0.435  0.139  0.849
Br  0.500  0.500  0.500
Br  0.565  0.861  0.151
Br  0.861  0.565  0.151
Br  0.926  0.926  0.707

=====

Record 2
Below is crystalline NaPdBr at its relaxed geometry, with properties calculated at the PBE level.

a = 9.304 Å, b = 5.461 Å, c = 5.461 Å
α = 90.00°, β = 90.00°, γ = 90.00°
Element x y z (fractional)
Na  0.227  0.250  0.000
Na  0.227  0.750  0.500
Na  0.773  0.250  0.500
Na  0.773  0.750  0.000
Pd  0.453  0.250  0.504
Pd  0.453  0.750  0.004
Pd  0.547  0.250  0.004
Pd  0.547  0.750  0.504
Br  0.166  0.250  0.500
Br  0.166  0.750  0.000
Br  0.834  0.250  0.000
Br  0.834  0.750  0.500

## Properties
Excess energy over the best structure of this formula in the dataset   63 meV/atom

=====

Record 3
Below is crystalline Na2PdBr4 at its relaxed geometry, with properties calculated at the PBE level.

a = 5.260 Å, b = 5.260 Å, c = 14.784 Å
α = 90.00°, β = 90.00°, γ = 90.00°
Element x y z (fractional)
Na  0.000  0.000  0.130
Na  0.000  0.000  0.870
Na  0.500  0.500  0.370
Na  0.500  0.500  0.630
Pd  0.000  0.000  0.500
Pd  0.500  0.500  0.000
Br  0.000  0.000  0.327
Br  0.000  0.000  0.673
Br  0.000  0.500  0.000
Br  0.000  0.500  0.500
Br  0.500  0.000  0.000
Br  0.500  0.000  0.500
Br  0.500  0.500  0.173
Br  0.500  0.500  0.827

## Properties
Excess energy over the best structure of this formula in the dataset   95 meV/atom

=====

Record 4
Below is crystalline NaPdBr at its relaxed geometry, with properties calculated at the PBE level.

a = 4.763 Å, b = 5.704 Å, c = 5.819 Å
α = 84.10°, β = 65.99°, γ = 75.29°
Element x y z (fractional)
Na  0.000  0.000  0.000
Na  0.316  0.499  0.375
Pd  0.603  0.495  0.793
Pd  0.705  0.996  0.582
Br  0.024  0.501  0.948
Br  0.280  0.001  0.428

## Properties
Excess energy over the best structure of this formula in the dataset   104 meV/atom

=====

Spin magnetization values (in μB per formula unit) by entry order: 0.68; 0.00; 0.00; 0.00.
DOS at the Fermi energy values (in states/eV per cell) by entry order: 9.7; 8.1; 0.7; 0.0.
Energy values (in eV/atom) by entry order: -2.81; -3.28; -3.00; -3.24.